The following is a DFT calculation (PBE) of a relaxed structure of TmAlPd.

```
data_TmAlPd
_chemical_formula_sum 'Tm1 Al1 Pd1'
_cell_length_a 3.687
_cell_length_b 3.687
_cell_length_c 5.974
_cell_angle_alpha 72.03
_cell_angle_beta 72.03
_cell_angle_gamma 60.00
_space_group_name_H-M_alt 'P 1'
_space_group_IT_number 1
_space_group_name_Hall 'P 1'
loop_
_atom_site_label
_atom_site_fract_x
_atom_site_fract_y
_atom_site_fract_z
_atom_site_occupancy
Al1 0.532 0.532 0.405 1
Pd1 0.119 0.119 0.643 1
Tm1 0.335 0.335 0.996 1
```

Its formation energy is -0.479 eV/atom. The calculation puts the total moment at 0.00 μB/f.u. Its density of states at the Fermi level is 0.759 states/eV/atom. As for the space group: R3m.

***

The following is a DFT calculation (PBE) of a relaxed structure of Cs2Tl7Bi.

```
data_Cs2Tl7Bi
_chemical_formula_sum 'Cs2 Tl7 Bi1'
_cell_length_a 8.836
_cell_length_b 8.836
_cell_length_c 8.836
_cell_angle_alpha 60.00
_cell_angle_beta 60.00
_cell_angle_gamma 60.00
_space_group_name_H-M_alt 'P 1'
_space_group_IT_number 1
_space_group_name_Hall 'P 1'
loop_
_atom_site_label
_atom_site_fract_x
_atom_site_fract_y
_atom_site_fract_z
_atom_site_occupancy
Tl1 0.249 0.751 0.249 1
Tl2 0.751 0.249 0.249 1
Tl3 0.249 0.249 0.751 1
Tl4 0.500 0.500 0.500 1
Tl5 0.751 0.249 0.751 1
Tl6 0.751 0.751 0.249 1
Tl7 0.249 0.751 0.751 1
Cs1 0.250 0.250 0.250 1
Cs2 0.750 0.750 0.750 1
Bi1 0.000 0.000 0.000 1
```

Its formation energy is 0.106 eV/atom. The calculation puts the total moment at 0.00 μB/f.u. Its density of states at the Fermi level is 0.849 states/eV/atom. As for the space group: Fm-3m.

***

The following is a DFT calculation (PBE) of a relaxed structure of Na3YRh.

```
data_Na3YRh
_chemical_formula_sum 'Na3 Y1 Rh1'
_cell_length_a 5.260
_cell_length_b 5.260
_cell_length_c 5.260
_cell_angle_alpha 90.00
_cell_angle_beta 90.00
_cell_angle_gamma 90.00
_space_group_name_H-M_alt 'P 1'
_space_group_IT_number 1
_space_group_name_Hall 'P 1'
loop_
_atom_site_label
_atom_site_fract_x
_atom_site_fract_y
_atom_site_fract_z
_atom_site_occupancy
Na1 0.000 0.000 0.500 1
Na2 0.500 0.000 0.000 1
Na3 0.000 0.500 0.000 1
Rh1 0.000 0.000 0.000 1
Y1 0.500 0.500 0.500 1
```

Its formation energy is 0.683 eV/atom. The calculation puts the total moment at 0.00 μB/f.u. Its density of states at the Fermi level is 0.875 states/eV/atom. As for the space group: Pm-3m.

***

The following is a DFT calculation (PBE) of a relaxed structure of SrB3Cl.

```
data_SrB3Cl
_chemical_formula_sum 'Sr1 B3 Cl1'
_cell_length_a 4.465
_cell_length_b 4.465
_cell_length_c 4.465
_cell_angle_alpha 90.00
_cell_angle_beta 90.00
_cell_angle_gamma 90.00
_space_group_name_H-M_alt 'P 1'
_space_group_IT_number 1
_space_group_name_Hall 'P 1'
loop_
_atom_site_label
_atom_site_fract_x
_atom_site_fract_y
_atom_site_fract_z
_atom_site_occupancy
Cl1 0.000 0.000 0.000 1
Sr1 0.500 0.500 0.500 1
B1 0.500 0.000 0.000 1
B2 0.000 0.000 0.500 1
B3 0.000 0.500 0.000 1
```

The uncorrected formation energy comes out at 9.48 eV/f.u. The calculation puts the total moment at 0.00 μB/f.u. Its density of states at the Fermi level is 0.955 states/eV/atom. As for the space group: Pm-3m.

***

The following is a DFT calculation (PBE) of a relaxed structure of CrIr2I.

```
data_CrIr2I
_chemical_formula_sum 'Cr2 Ir4 I2'
_cell_length_a 6.110
_cell_length_b 6.110
_cell_length_c 6.464
_cell_angle_alpha 61.80
_cell_angle_beta 61.80
_cell_angle_gamma 90.00
_space_group_name_H-M_alt 'P 1'
_space_group_IT_number 1
_space_group_name_Hall 'P 1'
loop_
_atom_site_label
_atom_site_fract_x
_atom_site_fract_y
_atom_site_fract_z
_atom_site_occupancy
I1 0.750 0.250 0.500 1
I2 0.000 0.000 0.000 1
Ir1 0.176 0.625 0.250 1
Ir2 0.574 0.125 0.250 1
Ir3 0.375 0.426 0.750 1
Ir4 0.875 0.824 0.750 1
Cr1 0.250 0.750 0.500 1
Cr2 0.500 0.500 0.000 1
```

The uncorrected formation energy comes out at 3.72 eV/f.u. The calculation puts the total moment at 0.00 μB/f.u. Its density of states at the Fermi level is 1.390 states/eV/atom. As for the space group: I-42d.

***

The following is a DFT calculation (PBE) of a relaxed structure of Rb2HoUSe6.

```
data_Rb2HoUSe6
_chemical_formula_sum 'Rb4 Ho2 U2 Se12'
_cell_length_a 7.747
_cell_length_b 7.747
_cell_length_c 10.956
_cell_angle_alpha 90.00
_cell_angle_beta 90.00
_cell_angle_gamma 90.00
_space_group_name_H-M_alt 'P 1'
_space_group_IT_number 1
_space_group_name_Hall 'P 1'
loop_
_atom_site_label
_atom_site_fract_x
_atom_site_fract_y
_atom_site_fract_z
_atom_site_occupancy
Se1 0.000 0.751 0.244 1
Se2 0.000 0.751 0.756 1
Se3 0.256 0.005 0.500 1
Se4 0.756 0.995 0.000 1
Se5 0.500 0.249 0.744 1
Se6 0.500 0.249 0.256 1
Se7 0.756 0.506 0.000 1
Se8 0.244 0.506 0.000 1
Se9 0.744 0.494 0.500 1
Se10 0.744 0.005 0.500 1
Se11 0.256 0.494 0.500 1
Se12 0.244 0.995 0.000 1
Rb1 0.500 0.750 0.250 1
Rb2 0.000 0.250 0.750 1
Rb3 0.000 0.250 0.250 1
Rb4 0.500 0.750 0.750 1
Ho1 0.000 0.749 0.500 1
Ho2 0.500 0.251 0.000 1
U1 0.000 0.751 0.000 1
U2 0.500 0.249 0.500 1
```

The uncorrected formation energy comes out at -12.30 eV/f.u. The calculation puts the total moment at 0.00 μB/f.u. Its density of states at the Fermi level is 0.594 states/eV/atom. As for the space group: Pmmn.